1.
A relaxed Sr3Li2Au3 crystal. Source: Alexandria via LeMat-Bulk, functional PBE-GGA.

The structure in POSCAR format:
```
Sr3Li2Au3
1.0
8.176 0.000 0.000
0.000 15.757 0.000
0.000 0.000 6.710
Sr Li Au
12 8 12
direct
0.022 0.105 0.156
0.022 0.395 0.156
0.169 0.250 0.619
0.331 0.750 0.119
0.478 0.605 0.656
0.478 0.895 0.656
0.522 0.105 0.344
0.522 0.395 0.344
0.669 0.250 0.881
0.831 0.750 0.381
0.978 0.605 0.844
0.978 0.895 0.844
0.129 0.595 0.369
0.129 0.905 0.369
0.371 0.095 0.869
0.371 0.405 0.869
0.629 0.595 0.131
0.629 0.905 0.131
0.871 0.095 0.631
0.871 0.405 0.631
0.178 0.044 0.585
0.178 0.456 0.585
0.188 0.750 0.583
0.312 0.250 0.083
0.322 0.544 0.085
0.322 0.956 0.085
0.678 0.044 0.915
0.678 0.456 0.915
0.688 0.750 0.917
0.812 0.250 0.417
0.822 0.544 0.415
0.822 0.956 0.415
```

Output
Uncorrected energy ... -2.94 eV per atom
Formation energy ... -0.606 eV per atom
N(E_F) ... 13.9 states/eV per cell

***

2.
A relaxed Sr3Li2Au7 crystal. Source: Alexandria via LeMat-Bulk, functional PBE-GGA.

The structure in POSCAR format:
```
Sr3Li2Au7
1.0
2.943 1.699 8.849
-2.943 1.699 8.849
0.000 -3.398 8.849
Sr Li Au
3 2 7
direct
0.000 0.000 0.000
0.140 0.140 0.140
0.860 0.860 0.860
0.332 0.332 0.332
0.668 0.668 0.668
0.076 0.579 0.579
0.421 0.421 0.924
0.421 0.924 0.421
0.500 0.500 0.500
0.579 0.076 0.579
0.579 0.579 0.076
0.924 0.421 0.421
```

Output
Uncorrected energy ... -3.24 eV per atom
Formation energy ... -0.587 eV per atom
N(E_F) ... 8.8 states/eV per cell

***

3.
A relaxed SrLiAu2 crystal. Source: Alexandria via LeMat-Bulk, functional PBE-GGA.

The structure in POSCAR format:
```
SrLiAu2
1.0
4.938 0.000 0.000
0.000 4.938 0.000
0.000 0.000 3.870
Sr Li Au
1 1 2
direct
0.000 0.000 0.000
0.500 0.500 0.000
0.000 0.500 0.500
0.500 0.000 0.500
```

Output
Uncorrected energy ... -3.08 eV per atom
Energy above the lowest structure with this stoichiometry ... 0.1277 eV per atom
Formation energy ... -0.542 eV per atom
N(E_F) ... 1.3 states/eV per cell

***

4.
A relaxed SrLi12Au4 crystal. Source: Alexandria via LeMat-Bulk, functional PBE-GGA.

The structure in POSCAR format:
```
SrLi12Au4
1.0
-4.532 4.532 4.532
4.532 -4.532 4.532
4.532 4.532 -4.532
Sr Li Au
1 12 4
direct
0.000 0.000 0.000
0.173 0.522 0.349
0.173 0.824 0.651
0.176 0.349 0.827
0.349 0.173 0.522
0.349 0.827 0.176
0.478 0.651 0.827
0.522 0.349 0.173
0.651 0.173 0.824
0.651 0.827 0.478
0.824 0.651 0.173
0.827 0.176 0.349
0.827 0.478 0.651
0.000 0.000 0.500
0.000 0.500 0.000
0.500 0.000 0.000
0.500 0.500 0.500
```

Output
Uncorrected energy ... -2.42 eV per atom
Formation energy ... -0.202 eV per atom
N(E_F) ... 2.9 states/eV per cell

***

5.
A relaxed SrLiAu2 crystal. Source: Alexandria via LeMat-Bulk, functional PBE-GGA.

The structure in POSCAR format:
```
SrLiAu2
1.0
-2.602 2.602 8.342
2.602 -2.602 8.342
2.602 2.602 -8.342
Sr Li Au
2 2 4
direct
0.000 0.000 0.000
0.750 0.250 0.500
0.250 0.750 0.500
0.500 0.500 0.000
0.306 0.625 0.181
0.375 0.556 0.681
0.444 0.125 0.819
0.875 0.694 0.319
```

Output
Uncorrected energy ... -2.97 eV per atom
Energy above the lowest structure with this stoichiometry ... 0.2397 eV per atom
Formation energy ... -0.430 eV per atom
N(E_F) ... 3.4 states/eV per cell

***

6.
A relaxed Sr3LiAu crystal. Source: Alexandria via LeMat-Bulk, functional PBE-GGA.

The structure in POSCAR format:
```
Sr3LiAu
1.0
4.281 0.000 0.000
0.000 9.487 0.000
-0.044 0.000 9.567
Sr Li Au
6 2 2
direct
0.244 0.250 0.497
0.252 0.544 0.173
0.252 0.956 0.173
0.748 0.044 0.827
0.748 0.456 0.827
0.756 0.750 0.503
0.250 0.750 0.844
0.750 0.250 0.156
0.249 0.250 0.981
0.751 0.750 0.019
```

Output
Uncorrected energy ... -2.36 eV per atom
Energy above the lowest structure with this stoichiometry ... 0.0000 eV per atom
Formation energy ... -0.310 eV per atom
N(E_F) ... 8.1 states/eV per cell

***

7.
A relaxed SrLi2Au9 crystal. Source: Alexandria via LeMat-Bulk, functional PBE-GGA.

The structure in POSCAR format:
```
SrLi2Au9
1.0
2.792 1.612 9.298
-2.792 1.612 9.298
0.000 -3.223 9.298
Sr Li Au
1 2 9
direct
0.000 0.000 0.000
0.154 0.154 0.154
0.846 0.846 0.846
0.083 0.588 0.588
0.333 0.333 0.333
0.412 0.412 0.917
0.412 0.917 0.412
0.500 0.500 0.500
0.588 0.083 0.588
0.588 0.588 0.083
0.667 0.667 0.667
0.917 0.412 0.412
```

Output
Uncorrected energy ... -3.30 eV per atom
Formation energy ... -0.385 eV per atom
N(E_F) ... 2.5 states/eV per cell

***

8.
A relaxed Sr2Li2Au15 crystal. Source: Alexandria via LeMat-Bulk, functional PBE-GGA.

The structure in POSCAR format:
```
Sr2Li2Au15
1.0
4.825 2.785 4.823
-4.825 2.785 4.823
0.000 -5.571 4.823
Sr Li Au
2 2 15
direct
0.156 0.156 0.156
0.844 0.844 0.844
0.405 0.405 0.405
0.595 0.595 0.595
0.000 0.500 0.500
0.150 0.150 0.654
0.150 0.654 0.150
0.200 0.500 0.800
0.200 0.800 0.500
0.346 0.850 0.850
0.500 0.000 0.500
0.500 0.200 0.800
0.500 0.500 0.000
0.500 0.800 0.200
0.654 0.150 0.150
0.800 0.200 0.500
0.800 0.500 0.200
0.850 0.346 0.850
0.850 0.850 0.346
```

Output
Uncorrected energy ... -3.36 eV per atom
Formation energy ... -0.393 eV per atom
N(E_F) ... 4.7 states/eV per cell

***

Among the records above, which one has the lowest formation energy? Sr3Li2Au3

***

The highest uncorrected energy belongs to which entry? Sr3LiAu

***

Which of these has the highest N(E_F)? Sr3Li2Au3